CrInMo2: relaxed, PBE.

E_form (eV per atom): 0.327

Cell lengths 2.7994, 2.7994, 8.8573 Å; angles 90.00, 90.00, 110.56 degrees
Atoms (fractional coordinates):
Cr 0.0000 0.0000 0.4816
In 0.5000 0.5000 0.7397
Mo 0.0000 0.0000 0.0165
Mo 0.5000 0.5000 0.2622

***

CrIn3Mo: relaxed, PBE.

E above lowest polymorph (meV per atom): 10.2
E_form (eV per atom): 1.437

Cell lengths 4.9089, 4.9089, 4.9089 Å; angles 90.00, 90.00, 90.00 degrees
Atoms (fractional coordinates):
Cr 0.0000 0.0000 0.0000
Mo 0.5000 0.5000 0.5000
In 0.0000 0.5000 0.0000
In 0.0000 0.0000 0.5000
In 0.5000 0.0000 0.0000

***

Cr2InMo: relaxed, PBE.

E_form (eV per atom): 0.458

Cell lengths 3.3171, 4.4697, 4.2864 Å; angles 90.00, 90.00, 90.00 degrees
Atoms (fractional coordinates):
Cr 0.0000 0.0000 0.0000
Cr 0.5000 0.5000 0.0000
In 0.5000 0.0000 0.5000
Mo 0.0000 0.5000 0.5000

***

CrIn3Mo: relaxed, PBE.

E above lowest polymorph (meV per atom): 0.0
E_form (eV per atom): 1.427

Cell lengths 5.2162, 5.2162, 5.2162 Å; angles 90.00, 90.00, 90.00 degrees
Atoms (fractional coordinates):
Cr 0.5000 0.5000 0.5000
Mo 0.0000 0.0000 0.0000
In 0.0000 0.5000 0.0000
In 0.0000 0.0000 0.5000
In 0.5000 0.0000 0.0000

***

CrInMo2: relaxed, PBE.

E_form (eV per atom): 0.261

Cell lengths 5.2650, 5.2650, 4.4564 Å; angles 64.98, 64.98, 35.24 degrees
Atoms (fractional coordinates):
Cr 0.7500 0.7500 0.7500
In 0.2500 0.2500 0.2500
Mo 0.0184 0.0184 0.9815
Mo 0.4816 0.4816 0.5185

***

CrInMo2: relaxed, PBE.

E_form (eV per atom): 0.487

Cell lengths 5.1569, 5.1569, 2.7869 Å; angles 90.00, 90.00, 116.63 degrees
Atoms (fractional coordinates):
Cr 0.5000 0.0000 0.5000
In 0.0000 0.5000 0.5000
Mo 0.0000 0.0000 0.0000
Mo 0.5000 0.5000 0.0000

***

CrInMo2: relaxed, PBE.

E_form (eV per atom): 0.332

Cell lengths 4.0450, 2.8704, 6.0122 Å; angles 69.72, 90.00, 90.00 degrees
Atoms (fractional coordinates):
Cr 0.5000 0.2500 0.2500
In 0.5000 0.7500 0.7500
Mo 0.0000 0.0512 0.0419
Mo 0.0000 0.4488 0.4581

***

CrInMo2: relaxed, PBE.

E_form (eV per atom): 0.237

Cell lengths 3.2022, 3.2022, 6.4825 Å; angles 90.00, 90.00, 90.00 degrees
Atoms (fractional coordinates):
Cr 0.0000 0.0000 0.4744
In 0.5000 0.5000 0.7432
Mo 0.0000 0.0000 0.0296
Mo 0.5000 0.5000 0.2528

***

Cr2InMo: relaxed, PBE.

E_form (eV per atom): 0.335

Cell lengths 5.1526, 5.1526, 4.4023 Å; angles 64.71, 64.71, 34.83 degrees
Atoms (fractional coordinates):
Cr 0.0135 0.0135 0.9865
Cr 0.7282 0.7282 0.7717
In 0.4918 0.4918 0.5082
Mo 0.2665 0.2665 0.2336

***

CrInMo2: relaxed, PBE.

E_form (eV per atom): 0.457

Cell lengths 8.6881, 8.6881, 8.6881 Å; angles 19.88, 19.88, 19.88 degrees
Atoms (fractional coordinates):
Cr 0.2500 0.2500 0.2500
In 0.7500 0.7500 0.7500
Mo 0.9874 0.9874 0.9874
Mo 0.5126 0.5126 0.5126

***

Cr3InMo: relaxed, PBE.

E above lowest polymorph (meV per atom): 0.0
E_form (eV per atom): 1.284

Cell lengths 4.6798, 4.6798, 4.6798 Å; angles 90.00, 90.00, 90.00 degrees
Atoms (fractional coordinates):
Cr 0.0000 0.5000 0.0000
Cr 0.0000 0.0000 0.5000
Cr 0.5000 0.0000 0.0000
Mo 0.0000 0.0000 0.0000
In 0.5000 0.5000 0.5000

***

Cr2InMo: relaxed, PBE.

E_form (eV per atom): 0.488

Cell lengths 8.5691, 8.5691, 8.5691 Å; angles 19.73, 19.73, 19.73 degrees
Atoms (fractional coordinates):
Cr 0.9960 0.9960 0.9960
Cr 0.2629 0.2629 0.2629
In 0.5027 0.5027 0.5027
Mo 0.7384 0.7384 0.7384

***

Cr2InMo: relaxed, PBE.

E_form (eV per atom): 0.937

Cell lengths 7.0259, 7.0259, 5.6620 Å; angles 51.65, 51.65, 90.00 degrees
Atoms (fractional coordinates):
Cr 0.5787 0.1250 0.2500
Cr 0.1713 0.6250 0.2500
Cr 0.3750 0.4213 0.7500
Cr 0.8750 0.8287 0.7500
Mo 0.5000 0.5000 0.0000
Mo 0.2500 0.7500 0.5000
In 0.0000 0.0000 0.0000
In 0.7500 0.2500 0.5000

***

CrInMo2: relaxed, PBE.

E_form (eV per atom): 0.304

Cell lengths 3.2425, 3.2425, 6.2269 Å; angles 90.00, 90.00, 90.00 degrees
Atoms (fractional coordinates):
Cr 0.5000 0.5000 0.2500
In 0.5000 0.5000 0.7500
Mo 0.0000 0.0000 0.0484
Mo 0.0000 0.0000 0.4516

***

CrInMo2: relaxed, PBE.

E_form (eV per atom): 0.370

Cell lengths 4.3829, 2.8001, 5.4514 Å; angles 77.93, 90.00, 90.00 degrees
Atoms (fractional coordinates):
Cr 0.0000 0.5322 0.4558
In 0.5000 0.6747 0.7486
Mo 0.0000 0.0138 0.0287
Mo 0.5000 0.2793 0.2668

***

Cr3InMo: relaxed, PBE.

E above lowest polymorph (meV per atom): 1311.4
E_form (eV per atom): 2.595

Cell lengths 4.5722, 4.5722, 4.5722 Å; angles 90.00, 90.00, 90.00 degrees
Atoms (fractional coordinates):
Cr 0.0000 0.5000 0.0000
Cr 0.0000 0.0000 0.5000
Cr 0.5000 0.0000 0.0000
Mo 0.5000 0.5000 0.5000
In 0.0000 0.0000 0.0000

***

CrInMo4: relaxed, PBE.

E_form (eV per atom): 0.438

Cell lengths 5.2574, 5.2574, 5.2574 Å; angles 60.00, 60.00, 60.00 degrees
Atoms (fractional coordinates):
Cr 0.7500 0.7500 0.7500
In 0.0000 0.0000 0.0000
Mo 0.8764 0.3745 0.3745
Mo 0.3745 0.3745 0.8764
Mo 0.3745 0.8764 0.3745
Mo 0.3745 0.3745 0.3745

***

Cr2InMo: relaxed, PBE.

E_form (eV per atom): 0.284

Cell lengths 2.9080, 2.9080, 7.1528 Å; angles 90.00, 90.00, 90.00 degrees
Atoms (fractional coordinates):
Cr 0.0000 0.0000 0.0280
Cr 0.5000 0.5000 0.1977
In 0.0000 0.0000 0.4813
Mo 0.5000 0.5000 0.7930

***

CrInMo2: relaxed, PBE.

E_form (eV per atom): 0.329

Cell lengths 5.1951, 5.1951, 4.5119 Å; angles 64.19, 64.19, 36.28 degrees
Atoms (fractional coordinates):
Cr 0.4826 0.4826 0.5177
In 0.2415 0.2415 0.2583
Mo 0.0150 0.0150 0.9851
Mo 0.7609 0.7609 0.7388

***

Cr2InMo: relaxed, PBE.

E_form (eV per atom): 0.439

Cell lengths 4.4766, 4.4766, 4.4766 Å; angles 60.00, 60.00, 60.00 degrees
Atoms (fractional coordinates):
Cr 0.0000 0.0000 0.0000
Cr 0.2500 0.2500 0.2500
In 0.5000 0.5000 0.5000
Mo 0.7500 0.7500 0.7500

***

CrInMo2: relaxed, PBE.

E_form (eV per atom): 0.835

Cell lengths 3.7948, 3.7948, 10.2996 Å; angles 79.38, 79.38, 90.00 degrees
Atoms (fractional coordinates):
Cr 0.5000 0.5000 0.0000
Cr 0.2500 0.7500 0.5000
Mo 0.6142 0.1250 0.2500
Mo 0.1358 0.6250 0.2500
Mo 0.3750 0.3858 0.7500
Mo 0.8750 0.8642 0.7500
In 0.0000 0.0000 0.0000
In 0.7500 0.2500 0.5000

***

CrInMo2: relaxed, PBE.

E_form (eV per atom): 0.351

Cell lengths 3.3546, 4.3571, 4.4897 Å; angles 90.00, 90.00, 90.00 degrees
Atoms (fractional coordinates):
Cr 0.5000 0.0000 0.5000
In 0.0000 0.5000 0.5000
Mo 0.0000 0.0000 0.0000
Mo 0.5000 0.5000 0.0000

***

CrInMo2: relaxed, PBE.

E_form (eV per atom): 0.333

Cell lengths 4.5340, 4.5340, 4.5340 Å; angles 119.97, 119.97, 90.05 degrees
Atoms (fractional coordinates):
Cr 0.5000 0.5000 0.0000
In 0.7500 0.2500 0.5000
Mo 0.0000 0.0000 0.0000
Mo 0.2500 0.7500 0.5000

***

Cr2InMo: relaxed, PBE.

E_form (eV per atom): 0.330

Cell lengths 4.3562, 4.3562, 3.2327 Å; angles 90.00, 90.00, 90.00 degrees
Atoms (fractional coordinates):
Cr 0.0000 0.0000 0.0000
Cr 0.5000 0.5000 0.0000
In 0.5000 0.0000 0.5000
Mo 0.0000 0.5000 0.5000

***

Cr2InMo: relaxed, PBE.

E_form (eV per atom): 0.506

Cell lengths 8.5657, 8.5657, 8.5657 Å; angles 19.99, 19.99, 19.99 degrees
Atoms (fractional coordinates):
Cr 0.0094 0.0094 0.0094
Cr 0.4906 0.4906 0.4906
In 0.2500 0.2500 0.2500
Mo 0.7500 0.7500 0.7500

***

Cr2InMo: relaxed, PBE.

E_form (eV per atom): 0.469

Cell lengths 5.1113, 5.1113, 5.1113 Å; angles 136.63, 136.63, 63.02 degrees
Atoms (fractional coordinates):
Cr 0.0000 0.0000 0.0000
Cr 0.2500 0.7500 0.5000
In 0.5000 0.5000 0.0000
Mo 0.7500 0.2500 0.5000

***

CrInMo2: relaxed, PBE.

E_form (eV per atom): 0.328

Cell lengths 2.7989, 2.7989, 8.8532 Å; angles 90.00, 90.00, 110.89 degrees
Atoms (fractional coordinates):
Cr 0.5000 0.5000 0.2500
In 0.5000 0.5000 0.7500
Mo 0.0000 0.0000 0.0271
Mo 0.0000 0.0000 0.4729

***

CrInMo2: relaxed, PBE.

E_form (eV per atom): 0.436

Cell lengths 5.2675, 5.2675, 2.7645 Å; angles 81.23, 81.23, 117.78 degrees
Atoms (fractional coordinates):
Cr 0.5000 0.0000 0.5000
In 0.0000 0.5000 0.5000
Mo 0.0000 0.0000 0.0000
Mo 0.5000 0.5000 0.0000

***

CrInMo2: relaxed, PBE.

E_form (eV per atom): 0.266

Cell lengths 2.9444, 2.9444, 7.5025 Å; angles 90.00, 90.00, 90.00 degrees
Atoms (fractional coordinates):
Cr 0.5000 0.5000 0.2500
In 0.5000 0.5000 0.7500
Mo 0.0000 0.0000 0.0477
Mo 0.0000 0.0000 0.4523

***

CrInMo2N: relaxed, PBE.

Final energy (eV for the cell shown): -42.55

Cell lengths 4.1956, 4.1956, 4.0213 Å; angles 90.00, 90.00, 90.00 degrees
Atoms (fractional coordinates):
Cr 0.0000 0.0000 0.5000
Mo 0.0000 0.5000 0.0000
Mo 0.5000 0.0000 0.0000
N 0.0000 0.0000 0.0000
In 0.5000 0.5000 0.5000